## AlWNF2 (GGA+U)

Data for a relaxed structure of AlWNF2.

abc: 3.614 3.614 4.352
angles: 90.00 90.00 90.00
Fractional positions:
Al 0.000 0.000 0.000
F 0.500 0.000 0.000
F 0.000 0.500 0.000
N 0.000 0.000 0.500
W 0.500 0.500 0.500

Values from the calculation:
**Energy**: -28.876 eV per cell
**Size of the total moment**: 4.000 μB/cell
**ρ**: 7.7 Mg/m³